1.
The following is a PBE calculation of an optimized crystal structure of TbMg2ZnAu4, from Alexandria via LeMat-Bulk.

Properties
**Size of the total moment**: 0.000 μB per atom
**ΔE_f**: -0.5784 eV per atom

a = 8.764 Å, b = 8.764 Å, c = 8.764 Å
α = 30.65°, β = 30.65°, γ = 30.65°
Fractional coordinates of all 8 atoms:
Tb 0.000 0.000 0.000
Mg 0.242 0.242 0.242
Mg 0.758 0.758 0.758
Zn 0.500 0.500 0.500
Au 0.127 0.127 0.127
Au 0.392 0.392 0.392
Au 0.608 0.608 0.608
Au 0.873 0.873 0.873

***

2.
The following is a PBE calculation of an optimized crystal structure of Tb4MgZn2Au, from Alexandria via LeMat-Bulk.

Properties
**Size of the total moment**: 0.000 μB per atom
**ΔE_f**: -0.4064 eV per atom

a = 8.938 Å, b = 8.938 Å, c = 8.938 Å
α = 33.45°, β = 33.45°, γ = 33.45°
Fractional coordinates of all 8 atoms:
Tb 0.119 0.119 0.119
Tb 0.371 0.371 0.371
Tb 0.629 0.629 0.629
Tb 0.881 0.881 0.881
Mg 0.500 0.500 0.500
Zn 0.240 0.240 0.240
Zn 0.760 0.760 0.760
Au 0.000 0.000 0.000

***

3.
The following is a PBE calculation of an optimized crystal structure of TbMgZn2Au5, from Alexandria via LeMat-Bulk.

Properties
**Size of the total moment**: 0.000 μB per atom
**ΔE_f**: -0.3555 eV per atom

a = 4.680 Å, b = 4.680 Å, c = 8.247 Å
α = 90.00°, β = 90.00°, γ = 90.00°
Fractional coordinates of all 9 atoms:
Tb 0.000 0.000 0.000
Mg 0.000 0.000 0.500
Zn 0.500 0.500 0.356
Zn 0.500 0.500 0.644
Au 0.000 0.500 0.235
Au 0.000 0.500 0.765
Au 0.500 0.000 0.235
Au 0.500 0.000 0.765
Au 0.500 0.500 0.000

***

4.
The following is a PBE calculation of an optimized crystal structure of TbMg2Zn2Au2, from Alexandria via LeMat-Bulk.

Properties
**Size of the total moment**: 0.000 μB per atom
**ΔE_f**: -0.4921 eV per atom

a = 8.274 Å, b = 8.274 Å, c = 8.274 Å
α = 31.92°, β = 31.92°, γ = 31.92°
Fractional coordinates of all 7 atoms:
Tb 0.000 0.000 0.000
Mg 0.134 0.134 0.134
Mg 0.866 0.866 0.866
Zn 0.407 0.407 0.407
Zn 0.593 0.593 0.593
Au 0.254 0.254 0.254
Au 0.746 0.746 0.746

***

5.
The following is a PBE calculation of an optimized crystal structure of TbMgZn5Au2, from Alexandria via LeMat-Bulk.

Properties
**Size of the total moment**: 0.000 μB per atom
**ΔE_f**: -0.0892 eV per atom

a = 4.764 Å, b = 4.764 Å, c = 7.910 Å
α = 90.00°, β = 90.00°, γ = 90.00°
Fractional coordinates of all 9 atoms:
Tb 0.000 0.000 0.000
Mg 0.000 0.000 0.500
Zn 0.000 0.500 0.227
Zn 0.000 0.500 0.773
Zn 0.500 0.000 0.227
Zn 0.500 0.000 0.773
Zn 0.500 0.500 0.000
Au 0.500 0.500 0.333
Au 0.500 0.500 0.667

***

6.
The following is a PBE calculation of an optimized crystal structure of TbMgZn2Au4, from Alexandria via LeMat-Bulk.

Properties
**Size of the total moment**: 0.000 μB per atom
**ΔE_f**: -0.5250 eV per atom

a = 8.621 Å, b = 8.621 Å, c = 8.621 Å
α = 30.93°, β = 30.93°, γ = 30.93°
Fractional coordinates of all 8 atoms:
Tb 0.000 0.000 0.000
Mg 0.500 0.500 0.500
Zn 0.247 0.247 0.247
Zn 0.753 0.753 0.753
Au 0.128 0.128 0.128
Au 0.390 0.390 0.390
Au 0.610 0.610 0.610
Au 0.872 0.872 0.872

***

- Which value of size of the total moment does entry 1 give?
  0.000 μB per atom